Compound: LaNb2Re
Source: Alexandria via LeMat-Bulk
Functional: PBE
Structure: relaxed

The structure in POSCAR format:
```
LaNb2Re
1.0
7.750 0.000 0.000
0.000 7.750 0.000
3.875 3.875 3.029
Re La Nb
2 2 4
Direct
0.750 0.250 0.500 Re
0.000 0.000 0.000 Re
0.500 0.500 0.000 La
0.250 0.750 0.500 La
0.375 0.320 0.750 Nb
0.875 0.930 0.750 Nb
0.680 0.125 0.250 Nb
0.070 0.625 0.250 Nb
```

Results
- relative energy among the computed polymorphs (eV/atom) = 0.322

Compound: Tm6OsRu5
Source: Alexandria via LeMat-Bulk
Functional: PBE
Structure: relaxed

The structure in POSCAR format:
```
Tm6OsRu5
1.0
-4.665 0.022 0.844
0.388 -6.314 2.304
-1.133 2.479 6.982
Tm Ru Os
6 5 1
Direct
0.167 0.250 0.667 Tm
0.833 0.750 0.333 Tm
0.833 0.250 0.333 Tm
0.500 0.250 0.000 Tm
0.167 0.750 0.667 Tm
0.500 0.750 0.000 Tm
0.000 0.500 0.000 Ru
0.667 0.500 0.666 Ru
0.333 0.000 0.334 Ru
0.333 0.500 0.334 Ru
0.667 0.000 0.666 Ru
0.000 0.000 0.000 Os
```

Results
- E_tot (eV per atom) = -7.41

Compound: Ba3AlCr
Source: Alexandria via LeMat-Bulk
Functional: PBE
Structure: relaxed

The structure in POSCAR format:
```
Ba3AlCr
1.0
6.536 0.000 0.000
0.000 6.536 0.000
0.000 0.000 6.536
Cr Al Ba
1 1 3
Direct
0.500 0.500 0.500 Cr
0.000 0.000 0.000 Al
0.500 0.000 0.000 Ba
0.000 0.500 0.000 Ba
0.000 0.000 0.500 Ba
```

Results
- relative energy among the computed polymorphs (eV/atom) = 0.000

| no. | total magnetic moment (μB/cell) |
| --- | --- |
| 1 | 0.00 |
| 2 | 0.00 |
| 3 | 5.28 |